! GGA+U Sr7CaTi7MnO24, relaxed; values from VASP
&SYSTEM
  ibrav = 0, nat = 40, ntyp = 5
/
ATOMIC_SPECIES
O 16.00 O.upf
Sr 87.62 Sr.upf
Ti 47.87 Ti.upf
Ca 40.08 Ca.upf
Mn 54.94 Mn.upf
CELL_PARAMETERS angstrom
7.8623 0.0060 0.0060
0.0073 7.8623 0.0060
0.0073 0.0073 7.8623
ATOMIC_POSITIONS angstrom
O 3.9290 0.0514 1.9830
O 1.9474 0.0408 0.0407
O 0.0222 5.9311 0.0212
O 3.9290 1.9830 0.0511
O 0.0222 0.0222 5.9311
Sr 5.8695 1.9402 1.9399
O 2.0011 3.9747 3.9741
Ti 7.8375 3.9282 7.8356
O 1.9836 0.0517 3.9287
O 3.9750 3.9744 1.9998
O 5.9278 0.0419 3.9374
O 0.0411 0.0411 1.9474
O 3.9685 3.9678 5.9420
O 0.0520 3.9290 1.9830
O 1.9836 3.9287 0.0511
Ti 7.8411 3.8907 3.8901
Sr 5.8877 5.8868 1.9435
Sr 5.8877 1.9444 5.8865
O 0.0429 5.9278 3.9374
Sr 1.9412 1.9409 5.8689
O 3.9685 5.9427 3.9668
Ti 3.8920 7.8405 3.8901
O 5.9311 0.0212 0.0212
Sr 1.9454 5.8874 5.8865
Ti 3.8910 3.8904 3.8897
Ti 3.9294 7.8369 7.8356
O 3.9384 5.9272 0.0413
Ca 1.8429 1.8426 1.8422
O 5.9278 3.9374 0.0413
Ti 7.8375 7.8362 3.9269
O 3.9750 2.0005 3.9741
O 5.9433 3.9675 3.9668
O 0.0411 1.9474 0.0407
Sr 5.8928 5.8919 5.8909
Ti 3.8920 3.8914 7.8398
Mn 7.8721 7.8708 7.8695
O 0.0429 3.9384 5.9272
O 3.9384 0.0422 5.9272
Sr 1.9412 5.8692 1.9399
O 0.0520 1.9836 3.9287
! **Space group**: No. 160
! **Uncorrected energy**: -7.88 eV per atom
! **Size of the total moment**: 3.006 μB per cell